KNaGdOsO5: optimized geometry, PBE-GGA.

## Properties
SG: P4/nmm
Calculated total energy: -6.64 eV/atom

POSCAR file:
```
KNaGdOsO5
1.0
5.665 0.000 0.000
0.000 5.665 0.000
0.000 0.000 8.001
K Na Gd Os O
2 2 2 2 10
direct
0.250 0.750 0.000
0.750 0.250 0.000
0.250 0.250 0.231
0.750 0.750 0.769
0.250 0.750 0.500
0.750 0.250 0.500
0.250 0.250 0.724
0.750 0.750 0.276
0.012 0.012 0.672
0.012 0.488 0.672
0.250 0.250 0.958
0.488 0.012 0.672
0.488 0.488 0.672
0.512 0.512 0.328
0.512 0.988 0.328
0.750 0.750 0.042
0.988 0.512 0.328
0.988 0.988 0.328
```